Record 1
VASP calculation (PBE) on a relaxed RbGaCu3 crystal.

extended XYZ file:
```
5
Lattice="5.661 0.000 0.000 0.000 5.661 0.000 0.000 0.000 5.661" Properties=species:S:1:pos:R:3 pbc="T T T"
Rb 0.000 0.000 0.000
Ga 2.830 2.830 2.830
Cu 0.000 0.000 2.830
Cu 0.000 2.830 0.000
Cu 2.830 0.000 0.000
```

Values from the calculation:
**Formation energy from the elements**: 1.655 eV/atom
**Polymorph energy (0 for the lowest one)**: 1291 meV/atom
**Size of the total moment**: 0.00 Bohr magnetons per cell
**Space group**: No. 221

***

Record 2
VASP calculation (PBE) on a relaxed Lu4Pd2O crystal.

extended XYZ file:
```
7
Lattice="-2.241 2.241 7.240 2.241 -2.241 7.240 2.241 2.241 -7.240" Properties=species:S:1:pos:R:3 pbc="T T T"
Lu 2.241 0.000 0.000
Lu 0.000 0.000 2.650
Lu 0.000 2.241 0.000
Lu 0.000 0.000 11.830
Pd 0.000 0.000 5.363
Pd 0.000 0.000 9.117
O 0.000 0.000 0.000
```

Values from the calculation:
**Size of the total moment**: 0.00 Bohr magnetons per cell
**ΔE_f (raw)**: -1332 meV per atom
**Space group**: No. 139

***

Record 3
VASP calculation (PBE) on a relaxed Nd8SiTe4Se3 crystal.

extended XYZ file:
```
16
Lattice="4.330 2.500 7.311 -4.330 2.500 7.311 0.000 -5.000 7.311" Properties=species:S:1:pos:R:3 pbc="T T T"
Nd 0.000 0.000 5.266
Nd -2.109 -1.217 12.570
Nd 0.000 -2.435 9.364
Nd -2.109 1.217 9.364
Nd 2.109 -1.217 12.570
Nd 0.000 2.435 12.570
Nd 2.109 1.217 9.364
Nd 0.000 0.000 16.667
Si 0.000 0.000 10.967
Te 0.000 0.000 0.000
Te -2.165 -1.250 7.311
Te -2.165 1.250 14.622
Te 0.000 2.500 7.311
Se -4.330 0.000 10.967
Se -2.165 1.250 3.656
Se 2.165 1.250 3.656
```

Values from the calculation:
**Size of the total moment**: 0.00 Bohr magnetons per cell
**ΔE_f (raw)**: -1548 meV per atom
**Space group**: No. 166

***

Record 4
VASP calculation (PBE) on a relaxed Sr3Sn8Pt3 crystal.

extended XYZ file:
```
14
Lattice="8.523 -2.557 0.000 8.523 2.557 0.000 -5.729 0.000 8.212" Properties=species:S:1:pos:R:3 pbc="T T T"
Sr 0.000 0.000 0.000
Sr 3.208 0.000 2.451
Sr 8.109 0.000 5.761
Sn -2.486 0.000 6.952
Sn 0.057 0.000 3.575
Sn 0.445 0.000 7.834
Sn 6.599 0.000 2.717
Sn 4.718 0.000 5.495
Sn 10.872 0.000 0.378
Sn 11.260 0.000 4.637
Sn 13.803 0.000 1.261
Pt -2.864 0.000 4.106
Pt 2.008 0.000 5.621
Pt 9.309 0.000 2.591
```

Values from the calculation:
**Formation energy from the elements**: -0.554 eV/atom
**Size of the total moment**: 0.00 Bohr magnetons per cell
**Space group**: No. 12

***

Record 5
VASP calculation (PBE) on a relaxed SrAc2Mg crystal.

extended XYZ file:
```
4
Lattice="5.998 0.000 0.000 0.000 5.998 0.000 0.000 0.000 4.554" Properties=species:S:1:pos:R:3 pbc="T T T"
Sr 0.000 0.000 0.000
Ac 0.000 2.999 2.277
Ac 2.999 0.000 2.277
Mg 2.999 2.999 0.000
```

Values from the calculation:
**Formation energy from the elements**: 0.081 eV/atom
**Polymorph energy (0 for the lowest one)**: 76 meV/atom
**Size of the total moment**: 0.00 Bohr magnetons per cell
**Space group**: No. 123

***

Record 6
VASP calculation (PBE) on a relaxed GaPd2Au2 crystal.

extended XYZ file:
```
10
Lattice="6.461 0.000 0.000 0.000 6.461 0.000 0.000 0.000 4.221" Properties=species:S:1:pos:R:3 pbc="T T T"
Ga 0.000 0.000 0.000
Ga 3.231 3.231 0.000
Pd 0.950 2.281 0.000
Pd 2.281 5.512 0.000
Pd 4.180 0.950 0.000
Pd 5.512 4.180 0.000
Au 1.023 4.253 2.110
Au 2.208 1.023 2.110
Au 4.253 5.439 2.110
Au 5.439 2.208 2.110
```

Values from the calculation:
**Formation energy from the elements**: -0.227 eV/atom
**Polymorph energy (0 for the lowest one)**: 64 meV/atom
**Size of the total moment**: 0.00 Bohr magnetons per cell
**Space group**: No. 127